DFT (PBE) results for a relaxed structure of Fe5Ir.

POSCAR file:
```
Fe5Ir
1.0
2.887 0.000 0.000
0.000 2.887 0.000
0.000 0.000 8.832
Fe Ir
5 1
direct
0.000 0.000 0.819 Fe
0.000 0.000 0.181 Fe
0.500 0.500 0.660 Fe
0.500 0.500 0.340 Fe
0.000 0.000 0.500 Fe
0.500 0.500 0.000 Ir
```

Values from the calculation:
Final energy (eV/cell): -51.25
Energy of formation from the pure elements (meV/atom): -13
Space group: P4/mmm, No. 123
Energy above the most stable polymorph in this dataset (eV/f.u.): 0.12

DFT (PBE) results for a relaxed structure of Be2Co3Re.

POSCAR file:
```
Be2Co3Re
1.0
-1.979 -1.384 -1.059
0.736 -2.117 1.390
-5.204 2.466 6.507
Be Co Re
2 3 1
direct
0.500 0.500 0.857 Be
0.500 0.500 0.143 Be
0.000 0.000 0.000 Co
0.000 0.000 0.702 Co
0.000 0.000 0.298 Co
0.500 0.500 0.500 Re
```

Values from the calculation:
Final energy (eV/cell): -42.57
Energy of formation from the pure elements (meV/atom): -225
Space group: P4/mmm, No. 123

DFT (PBE) results for a relaxed structure of TaTiVMo.

POSCAR file:
```
TaTiVMo
1.0
4.508 0.000 0.000
2.254 3.904 0.000
2.254 1.301 3.681
Mo V Ti Ta
1 1 1 1
direct
0.500 0.500 0.500 Mo
0.000 0.000 0.000 V
0.250 0.250 0.250 Ti
0.750 0.750 0.750 Ta
```

Values from the calculation:
Final energy (eV/cell): -39.86
Energy of formation from the pure elements (meV/atom): -40
Space group: F-43m, No. 216

DFT (PBE) results for a relaxed structure of NdGe2SbO8.

POSCAR file:
```
NdGe2SbO8
1.0
5.915 0.029 0.000
-2.597 5.314 0.000
-1.659 -2.672 5.010
Nd Ge Sb O
1 2 1 8
direct
0.250 0.750 0.500 Nd
0.750 0.250 0.500 Ge
0.500 0.500 0.000 Ge
0.000 0.000 0.000 Sb
0.375 0.069 0.305 O
0.294 0.466 0.172 O
0.294 0.123 0.828 O
0.764 0.069 0.695 O
0.877 0.706 0.172 O
0.931 0.236 0.305 O
0.931 0.625 0.695 O
0.534 0.706 0.828 O
```

Values from the calculation:
Final energy (eV/cell): -79.26
Space group: I-4m2, No. 119

DFT (PBE) results for a relaxed structure of RbMgGaBr4.

POSCAR file:
```
RbMgGaBr4
1.0
-5.582 4.209 3.628
-4.358 -0.301 -6.357
-1.630 -9.068 1.547
Rb Mg Ga Br
2 2 2 8
direct
0.743 0.750 0.958 Rb
0.257 0.250 0.042 Rb
0.254 0.750 0.319 Mg
0.746 0.250 0.681 Mg
0.781 0.750 0.481 Ga
0.219 0.250 0.519 Ga
0.960 0.503 0.733 Br
0.040 0.003 0.267 Br
0.040 0.497 0.267 Br
0.960 0.997 0.733 Br
0.421 0.750 0.133 Br
0.579 0.250 0.867 Br
0.465 0.750 0.585 Br
0.535 0.250 0.415 Br
```

Values from the calculation:
Final energy (eV/cell): -42.46
Space group: P2_1/m, No. 11

DFT (PBE) results for a relaxed structure of In2SiNi.

POSCAR file:
```
In2SiNi
1.0
-3.148 -0.673 2.851
2.895 -0.070 3.180
-1.050 8.317 4.048
Ni Si In
2 2 4
direct
0.000 0.000 0.000 Ni
0.750 0.250 0.500 Ni
0.500 0.500 0.000 Si
0.250 0.750 0.500 Si
0.646 0.125 0.250 In
0.104 0.625 0.250 In
0.375 0.354 0.750 In
0.875 0.896 0.750 In
```

Values from the calculation:
Final energy (eV/cell): -30.33
Space group: I-42d, No. 122

DFT (PBE) results for a relaxed structure of Sr2Br2O.

POSCAR file:
```
Sr2Br2O
1.0
4.198 0.000 0.000
0.000 7.965 0.000
-2.099 0.000 8.349
Sr Br O
4 4 2
direct
0.460 0.397 0.920 Sr
0.848 0.040 0.696 Sr
0.152 0.540 0.304 Sr
0.540 0.897 0.080 Sr
0.935 0.708 0.871 Br
0.789 0.399 0.578 Br
0.211 0.899 0.422 Br
0.065 0.208 0.129 Br
0.419 0.091 0.839 O
0.581 0.591 0.161 O
```

Values from the calculation:
Final energy (eV/cell): -46.46
Space group: Cmc2_1, No. 36

DFT (PBE) results for a relaxed structure of Ca2Zn5Pd2Pt.

POSCAR file:
```
Ca2Zn5Pd2Pt
1.0
3.844 0.000 0.000
0.000 9.714 0.000
0.000 0.000 9.714
Ca Zn Pd Pt
4 10 4 2
direct
0.000 0.679 0.179 Ca
0.000 0.321 0.821 Ca
0.000 0.179 0.321 Ca
0.000 0.821 0.679 Ca
0.500 0.191 0.056 Zn
0.500 0.809 0.944 Zn
0.500 0.056 0.809 Zn
0.500 0.691 0.444 Zn
0.500 0.944 0.191 Zn
0.500 0.309 0.556 Zn
0.500 0.556 0.691 Zn
0.500 0.444 0.309 Zn
0.500 0.500 0.000 Zn
0.500 0.000 0.500 Zn
0.000 0.120 0.620 Pd
0.000 0.880 0.380 Pd
0.000 0.620 0.880 Pd
0.000 0.380 0.120 Pd
0.000 0.000 0.000 Pt
0.000 0.500 0.500 Pt
```

Values from the calculation:
Final energy (eV/cell): -62.98
Energy of formation from the pure elements (meV/atom): -469
Space group: P4/mbm, No. 127

DFT (PBE) results for a relaxed structure of AlSi23.

POSCAR file:
```
AlSi23
1.0
10.217 0.000 0.000
0.000 10.217 0.000
0.000 0.000 10.217
Si Al
46 2
direct
0.250 0.000 0.500 Si
0.750 0.000 0.500 Si
0.000 0.500 0.250 Si
0.000 0.500 0.750 Si
0.500 0.250 0.000 Si
0.500 0.750 0.000 Si
0.683 0.683 0.683 Si
0.683 0.317 0.317 Si
0.317 0.683 0.317 Si
0.317 0.317 0.683 Si
0.817 0.817 0.817 Si
0.817 0.183 0.183 Si
0.183 0.817 0.183 Si
0.183 0.183 0.817 Si
0.317 0.317 0.317 Si
0.317 0.683 0.683 Si
0.683 0.317 0.683 Si
0.683 0.683 0.317 Si
0.183 0.183 0.183 Si
0.183 0.817 0.817 Si
0.817 0.183 0.817 Si
0.817 0.817 0.183 Si
0.000 0.692 0.883 Si
0.000 0.308 0.117 Si
0.000 0.692 0.117 Si
0.000 0.308 0.883 Si
0.692 0.883 0.000 Si
0.692 0.117 0.000 Si
0.308 0.883 0.000 Si
0.308 0.117 0.000 Si
0.883 0.000 0.692 Si
0.883 0.000 0.308 Si
0.117 0.000 0.308 Si
0.117 0.000 0.692 Si
0.808 0.500 0.617 Si
0.808 0.500 0.383 Si
0.192 0.500 0.383 Si
0.192 0.500 0.617 Si
0.500 0.617 0.808 Si
0.500 0.383 0.192 Si
0.500 0.617 0.192 Si
0.500 0.383 0.808 Si
0.617 0.808 0.500 Si
0.617 0.192 0.500 Si
0.383 0.808 0.500 Si
0.383 0.192 0.500 Si
0.000 0.000 0.000 Al
0.500 0.500 0.500 Al
```

Values from the calculation:
Final energy (eV/cell): -251.90
Space group: Pm-3n, No. 223

DFT (PBE) results for a relaxed structure of NdTh4Sb5.

POSCAR file:
```
NdTh4Sb5
1.0
4.427 0.000 -0.854
-0.328 6.129 -1.701
0.008 0.006 11.943
Nd Th Sb
1 4 5
direct
0.000 0.000 0.000 Nd
0.400 0.400 0.801 Th
0.800 0.800 0.600 Th
0.200 0.200 0.400 Th
0.600 0.600 0.199 Th
0.600 0.100 0.200 Sb
0.800 0.300 0.601 Sb
0.200 0.700 0.399 Sb
0.000 0.500 0.000 Sb
0.400 0.900 0.800 Sb
```

Values from the calculation:
Final energy (eV/cell): -64.74
Space group: Immm, No. 71

DFT (PBE) results for a relaxed structure of Be2AlCrC.

POSCAR file:
```
Be2AlCrC
1.0
-2.682 -3.277 -0.455
2.799 -2.176 -0.826
0.472 -0.958 4.123
Cr C Al Be
1 1 1 2
direct
0.500 0.500 0.500 Cr
0.000 0.500 0.000 C
0.000 0.000 0.000 Al
0.000 0.000 0.500 Be
0.500 0.000 0.000 Be
```

Values from the calculation:
Final energy (eV/cell): -21.00
Energy of formation from the pure elements (meV/atom): 1809
Space group: P4/mmm, No. 123

DFT (PBE) results for a relaxed structure of LaGa3Se.

POSCAR file:
```
LaGa3Se
1.0
5.756 0.000 0.000
0.000 5.756 0.000
0.000 0.000 5.756
Ga Se La
3 1 1
direct
0.000 0.500 0.000 Ga
0.000 0.000 0.500 Ga
0.500 0.000 0.000 Ga
0.500 0.500 0.500 Se
0.000 0.000 0.000 La
```

Values from the calculation:
Final energy (eV/cell): -13.57
Space group: Pm-3m, No. 221
Energy above the most stable polymorph in this dataset (eV/f.u.): 3.57